The following is a DFT calculation (PBE) of a geometry-optimized Mn2FeTcH structure.

As for the calculated volume: 9.9 Å³/atom. The value obtained for the distance to the lowest polymorph of the same formula is 63 meV per atom. Its magnetization is 2.06 μB/cell. Its energy is -7.99 eV per atom. The space group is P4/mmm.

Cell lengths 3.627, 3.627, 3.745 Å; angles 90.00, 90.00, 90.00 degrees
Fractional coordinates of all 5 atoms:
Mn 0.000 0.500 0.000
Mn 0.500 0.000 0.000
Fe 0.000 0.000 0.500
Tc 0.500 0.500 0.500
H 0.500 0.500 0.000

The following is a DFT calculation (PBE) of a geometry-optimized ThMnFe2H6 structure.

As for the calculated volume: 8.1 Å³/atom. Its magnetization is 3.04 μB/cell. Its energy is -5.59 eV per atom. The space group is R-3m.

Cell lengths 5.615, 5.615, 5.615 Å; angles 45.09, 45.09, 45.09 degrees
Fractional coordinates of all 10 atoms:
Th 0.000 0.000 0.000
Mn 0.500 0.500 0.500
Fe 0.202 0.202 0.202
Fe 0.798 0.798 0.798
H 0.092 0.562 0.562
H 0.438 0.438 0.908
H 0.438 0.908 0.438
H 0.562 0.092 0.562
H 0.562 0.562 0.092
H 0.908 0.438 0.438

The following is a DFT calculation (PBE) of a geometry-optimized Ti2MnFeH structure.

As for the calculated volume: 11.0 Å³/atom. The value obtained for the distance to the lowest polymorph of the same formula is 6 meV per atom. Its magnetization is 0.39 μB/cell. Its energy is -7.63 eV per atom. The space group is P4/mmm.

Cell lengths 4.190, 4.190, 3.139 Å; angles 90.00, 90.00, 90.00 degrees
Fractional coordinates of all 5 atoms:
Ti 0.000 0.500 0.000
Ti 0.500 0.000 0.000
Mn 0.000 0.000 0.500
Fe 0.500 0.500 0.500
H 0.000 0.000 0.000

Which of these has the highest energy?
ThMnFe2H6

Which of these has the highest calculated volume?
Ti2MnFeH

Among the records above, which one has the highest calculated volume?
Ti2MnFeH

Which value of calculated volume does entry 1 give?
9.9 Å³/atom